No. 1
Compound: PmCuSiAu6
Source: the Alexandria database
Functional: PBE-GGA
Structure: relaxed

The value obtained for the formation energy without anion corrections is -1.77 eV/f.u.

The space group is Imma (No. 74) and the conventional cell measures 7.287, 8.796 and 11.132 Å, with angles of 90.00, 90.00 and 90.00 degrees. The asymmetric unit holds Pm at (0.000, 0.250, 0.206), Cu at (0.250, 0.250, 0.750), Si at (0.000, 0.000, 0.000), Au at (0.000, 0.250, 0.504), Au at (0.000, 0.250, 0.911) and Au at (0.199, 0.007, 0.372).


No. 2
Compound: Li2Mg3SnO6
Source: the Alexandria database
Functional: PBE-GGA
Structure: relaxed

The value obtained for the formation energy without anion corrections is -27.45 eV/f.u.

The space group is C2/m (No. 12) and the conventional cell measures 5.260, 9.083 and 5.256 Å, with angles of 90.00, 109.73 and 90.00 degrees. The asymmetric unit holds Li at (0.000, 0.164, 0.000), Mg at (0.000, 0.000, 0.500), Mg at (0.000, 0.328, 0.500), Sn at (0.000, 0.500, 0.000), O at (0.235, 0.500, 0.749) and O at (0.247, 0.340, 0.261).


D(E_F) readings, ordered: 17.30 0.00 states/eV per cell
Total DFT energy (no corrections) readings, ordered: -3.9675 -5.8176 eV per atom
Magnetic moment readings, ordered: 0.000 0.000 Bohr magnetons per cell